(1)
The following is a PBE-GGA calculation of crystalline GeH2Br2O2 at its relaxed geometry, from the Alexandria database.

Lattice parameters (Å, degrees): 11.4891 3.6785 7.5715 90.00 119.92 90.00
Space group C2/m (No. 12)
Inequivalent atoms, fractional coordinates:
Ge 0.0000 0.0000 0.0000
H 0.1752 0.0000 0.9292
Br 0.0657 0.5000 0.2790
O 0.1722 0.0000 0.0565

**E**: -0.318 Ry per atom

=====

(2)
The following is a PBE-GGA calculation of crystalline Ti2MoAs2 at its relaxed geometry, from the Alexandria database.

Lattice parameters (Å, degrees): 6.7373 6.7373 3.5020 90.00 90.00 90.00
Space group P4/mbm (No. 127)
Inequivalent atoms, fractional coordinates:
Ti 0.1538 0.3462 0.0000
Mo 0.0000 0.0000 0.5000
As 0.1471 0.6471 0.5000

**Energy of formation from the pure elements**: -0.612 eV/atom